No. 1
A geometry-optimized KBe2Si structure. Source: Alexandria via LeMat-Bulk, functional GGA-PBE.

a = 5.532 Å, b = 5.532 Å, c = 2.513 Å
α = 90.00°, β = 90.00°, γ = 111.82°
Fractional coordinates of all 4 atoms:
K (0.000, 0.000, 0.000)
Be (0.000, 0.500, 0.500)
Be (0.500, 0.000, 0.500)
Si (0.500, 0.500, 0.000)


No. 2
A geometry-optimized KBe3Si structure. Source: Alexandria via LeMat-Bulk, functional GGA-PBE.

Computed properties:
- Excess energy over the best structure of this formula in the dataset: 805 kJ/mol of formula units

a = 5.001 Å, b = 5.001 Å, c = 5.001 Å
α = 90.00°, β = 90.00°, γ = 90.00°
Fractional coordinates of all 5 atoms:
K (0.000, 0.000, 0.000)
Be (0.000, 0.000, 0.500)
Be (0.000, 0.500, 0.000)
Be (0.500, 0.000, 0.000)
Si (0.500, 0.500, 0.500)


No. 3
A geometry-optimized KBe2Si structure. Source: Alexandria via LeMat-Bulk, functional GGA-PBE.

a = 4.157 Å, b = 4.157 Å, c = 6.929 Å
α = 94.82°, β = 94.82°, γ = 36.71°
Fractional coordinates of all 4 atoms:
K (0.000, 0.000, 0.000)
Be (0.226, 0.226, 0.633)
Be (0.774, 0.774, 0.367)
Si (0.500, 0.500, 0.500)


No. 4
A geometry-optimized KBe2Si structure. Source: Alexandria via LeMat-Bulk, functional GGA-PBE.

a = 7.953 Å, b = 7.953 Å, c = 7.953 Å
α = 143.53°, β = 143.53°, γ = 52.53°
Fractional coordinates of all 8 atoms:
K (0.375, 0.625, 0.750)
K (0.625, 0.375, 0.250)
Be (0.000, 0.000, 0.000)
Be (0.000, 0.000, 0.500)
Be (0.000, 0.500, 0.000)
Be (0.500, 0.000, 0.500)
Si (0.125, 0.875, 0.250)
Si (0.875, 0.125, 0.750)


| no. | formation energy without anion corrections (eV per atom) |
| --- | --- |
| 1 | 1.19 |
| 2 | 2.58 |
| 3 | 0.58 |
| 4 | 0.47 |